Entry 1:
A plane-wave DFT calculation with PBE was carried out for a relaxed structure of CeScSn.

**Total magnetization**: 0.603 μB per atom
**Crystal system**: trigonal
**VASP energy**: -0.4096 Ry/atom

Geometry as CIF:
```
data_CeScSn
_chemical_formula_sum 'Ce1 Sc1 Sn1'
_symmetry_space_group_name_H-M 'P 3 m 1'
_symmetry_Int_Tables_number 156
_cell_length_a 5.1831
_cell_length_b 5.1831
_cell_length_c 3.1780
_cell_angle_alpha 90.00
_cell_angle_beta 90.00
_cell_angle_gamma 120.00
loop_
_symmetry_equiv_pos_as_xyz
'x,y,z'
'-y,x-y,z'
'-x+y,-x,z'
'-y,-x,z'
'-x+y,y,z'
'x,x-y,z'
loop_
_atom_site_label
_atom_site_type_symbol
_atom_site_fract_x
_atom_site_fract_y
_atom_site_fract_z
_atom_site_occupancy
Ce1 Ce 0.0000 0.0000 0.0000 1
Sc1 Sc 0.6667 0.3333 0.0090 1
Sn1 Sn 0.3333 0.6667 0.5002 1
```


Entry 2:
A plane-wave DFT calculation with PBE was carried out for a relaxed structure of LiSc2In.

**Total magnetization**: 0.000 μB per atom
**Crystal system**: monoclinic
**VASP energy**: -0.3311 Ry/atom

Geometry as CIF:
```
data_LiSc2In
_chemical_formula_sum 'Li1 Sc2 In1'
_symmetry_space_group_name_H-M 'P 1 m 1'
_symmetry_Int_Tables_number 6
_cell_length_a 3.2500
_cell_length_b 4.7063
_cell_length_c 6.0149
_cell_angle_alpha 90.00
_cell_angle_beta 105.53
_cell_angle_gamma 90.00
loop_
_symmetry_equiv_pos_as_xyz
'x,y,z'
'x,-y,z'
loop_
_atom_site_label
_atom_site_type_symbol
_atom_site_fract_x
_atom_site_fract_y
_atom_site_fract_z
_atom_site_occupancy
Li1 Li 0.0000 0.0000 0.0000 1
Sc1 Sc 0.2614 0.0000 0.5227 1
Sc2 Sc 0.6067 0.5000 0.2142 1
In1 In 0.8703 0.5000 0.7402 1
```